TiAl6Ni | PBE-GGA | relaxed

The structure belongs to space group P4/mmm (No. 123); the cell edges are 5.569, 5.569 and 3.929 Å and the angles 90.00°, 90.00° and 90.00°. The asymmetric unit holds Ti at (0.000, 0.000, 0.000), Al at (0.000, 0.500, 0.000), Al at (0.252, 0.252, 0.500) and Ni at (0.500, 0.500, 0.000).

Its energy relative to the lowest polymorph listed for this composition is 0.000 eV/atom. Its formation energy is -220 meV/atom. The calculation puts the magnetization at 0.00 μB per atom.

---

HoZn2Ni | PBE-GGA | relaxed

The structure belongs to space group P4/mmm (No. 123); the cell edges are 3.183, 3.183 and 6.649 Å and the angles 90.00°, 90.00° and 90.00°. The asymmetric unit holds Ho at (0.000, 0.000, 0.000), Zn at (0.500, 0.500, 0.309) and Ni at (0.000, 0.000, 0.500).

Its formation energy is -206 meV/atom. The calculation puts the magnetization at 0.00 μB per atom.

---

DyHo3Os | PBE-GGA | relaxed

The structure belongs to space group Pmn2_1 (No. 31); the cell edges are 7.672, 6.400 and 6.198 Å and the angles 90.00°, 90.00° and 90.00°. The asymmetric unit holds Dy at (0.000, 0.157, 0.000), Ho at (0.000, 0.842, 0.494), Ho at (0.250, 0.319, 0.497) and Os at (0.000, 0.500, 0.747).

Its energy relative to the lowest polymorph listed for this composition is 0.000 eV/atom. Its formation energy is -72 meV/atom. The calculation puts the magnetization at 0.00 μB per atom.